(1)
The following is a DFT calculation (GGA-PBE) of crystalline DySn3Rh at its relaxed geometry.

Energy (eV per atom): -5.18
Energy relative to the elements (eV/atom): -0.392
Symmetry: No. 40

```
DySn3Rh
1.0
4.431 0.000 0.000
0.000 6.809 0.000
0.000 -3.404 8.455
Sn Dy Rh
6 2 2
Direct
0.250 0.654 0.857 Sn
0.750 0.759 0.636 Sn
0.250 0.123 0.364 Sn
0.250 0.724 0.414 Sn
0.750 0.797 0.143 Sn
0.750 0.310 0.586 Sn
0.750 0.327 0.199 Dy
0.250 0.128 0.801 Dy
0.750 0.415 0.895 Rh
0.250 0.520 0.105 Rh
```

(2)
The following is a DFT calculation (GGA-PBE) of crystalline Dy2SnRh6 at its relaxed geometry.

Energy (eV per atom): -6.61
Energy relative to the elements (eV/atom): -0.241
Symmetry: No. 12

```
Dy2SnRh6
1.0
-0.268 -0.821 -2.947
-6.771 -4.026 1.737
-0.090 7.966 -0.617
Rh Sn Dy
6 1 2
Direct
0.500 0.269 0.000 Rh
0.170 0.964 0.339 Rh
0.830 0.036 0.661 Rh
0.500 0.731 0.000 Rh
0.170 0.375 0.339 Rh
0.830 0.625 0.661 Rh
0.000 0.000 0.000 Sn
0.661 0.659 0.317 Dy
0.339 0.341 0.683 Dy
```

(3)
The following is a DFT calculation (GGA-PBE) of crystalline Sr2DySn3Rh4 at its relaxed geometry.

Energy (eV per atom): -5.63
Energy relative to the elements (eV/atom): -0.691
Symmetry: No. 115

```
Sr2DySn3Rh4
1.0
-1.341 2.417 3.567
0.075 -3.722 2.550
10.909 2.069 2.700
Sn Dy Sr Rh
3 1 2 4
Direct
0.000 0.000 0.500 Sn
0.500 0.000 0.878 Sn
0.000 0.500 0.122 Sn
0.500 0.500 0.500 Dy
0.500 0.000 0.233 Sr
0.000 0.500 0.767 Sr
0.500 0.000 0.642 Rh
0.500 0.500 0.000 Rh
0.000 0.500 0.358 Rh
0.000 0.000 0.000 Rh
```

| no. | D(E_F) (states/eV per cell) |
| --- | --- |
| 1 | 4.5 |
| 2 | 8.9 |
| 3 | 5.1 |